# Cs2AcHg2Br6 (PBE, relaxed)
# raw total energy	-2.893	eV/atom
# space-group type	No. 12
# crystal system	monoclinic
# mass density	4.3	g/cm3
# formation energy from raw total energies	-15.366	eV per formula unit
data_Cs2AcHg2Br6
_chemical_formula_sum 'Cs2 Ac1 Hg2 Br6'
_cell_length_a 9.009
_cell_length_b 8.623
_cell_length_c 9.381
_cell_angle_alpha 115.60
_cell_angle_beta 90.00
_cell_angle_gamma 121.49
_symmetry_space_group_name_H-M 'P 1'
_symmetry_Int_Tables_number 1
_symmetry_space_group_name_Hall 'P 1'
loop_
_atom_site_label
_atom_site_type_symbol
_atom_site_fract_x
_atom_site_fract_y
_atom_site_fract_z
Br1 Br 0.718 0.436 0.536
Br2 Br 0.344 0.146 0.777
Br3 Br 0.282 0.564 0.464
Br4 Br 0.198 0.854 0.223
Br5 Br 0.656 0.854 0.223
Br6 Br 0.802 0.146 0.777
Cs1 Cs 0.723 0.447 0.157
Cs2 Cs 0.277 0.553 0.843
Hg1 Hg 0.060 0.121 0.175
Hg2 Hg 0.940 0.879 0.825
Ac1 Ac 0.500 0.000 0.500

# Lu2AlAu (PBE, relaxed)
# raw total energy	-4.646	eV/atom
# space-group type	No. 123
# ΔE to the lowest computed polymorph	0.0	meV/atom
# crystal system	tetragonal
# mass density	10.8	g/cm3
data_Lu2AlAu
_chemical_formula_sum 'Lu2 Al1 Au1'
_cell_length_a 3.489
_cell_length_b 3.489
_cell_length_c 7.280
_cell_angle_alpha 90.00
_cell_angle_beta 90.00
_cell_angle_gamma 90.00
_symmetry_space_group_name_H-M 'P 1'
_symmetry_Int_Tables_number 1
_symmetry_space_group_name_Hall 'P 1'
loop_
_atom_site_label
_atom_site_type_symbol
_atom_site_fract_x
_atom_site_fract_y
_atom_site_fract_z
Lu1 Lu 0.000 0.000 0.242
Lu2 Lu 0.000 0.000 0.758
Al1 Al 0.500 0.500 0.500
Au1 Au 0.500 0.500 0.000

# CeDy3Er6 (PBE, relaxed)
# raw total energy	-4.363	eV/atom
# space-group type	No. 12
# ΔE to the lowest computed polymorph	187.0	meV/atom
# crystal system	monoclinic
# mass density	8.2	g/cm3
data_CeDy3Er6
_chemical_formula_sum 'Ce1 Dy3 Er6'
_cell_length_a 6.435
_cell_length_b 7.798
_cell_length_c 8.201
_cell_angle_alpha 94.18
_cell_angle_beta 66.90
_cell_angle_gamma 65.63
_symmetry_space_group_name_H-M 'P 1'
_symmetry_Int_Tables_number 1
_symmetry_space_group_name_Hall 'P 1'
loop_
_atom_site_label
_atom_site_type_symbol
_atom_site_fract_x
_atom_site_fract_y
_atom_site_fract_z
Er1 Er 0.255 0.536 0.953
Er2 Er 0.316 0.180 0.676
Er3 Er 0.684 0.820 0.324
Er4 Er 0.745 0.464 0.047
Er5 Er 0.827 0.180 0.676
Er6 Er 0.173 0.820 0.324
Ce1 Ce 0.500 0.500 0.500
Dy1 Dy 0.000 0.000 0.000
Dy2 Dy 0.226 0.280 0.267
Dy3 Dy 0.774 0.720 0.733

# TaTiN3 (PBE, relaxed)
# raw total energy	-10.093	eV/atom
# space-group type	No. 63
# crystal system	orthorhombic
# mass density	7.0	g/cm3
# formation energy from raw total energies	-5.739	eV per formula unit
data_TaTiN3
_chemical_formula_sum 'Ta2 Ti2 N6'
_cell_length_a 3.969
_cell_length_b 4.058
_cell_length_c 8.213
_cell_angle_alpha 90.00
_cell_angle_beta 103.98
_cell_angle_gamma 90.00
_symmetry_space_group_name_H-M 'P 1'
_symmetry_Int_Tables_number 1
_symmetry_space_group_name_Hall 'P 1'
loop_
_atom_site_label
_atom_site_type_symbol
_atom_site_fract_x
_atom_site_fract_y
_atom_site_fract_z
N1 N 0.267 0.750 0.471
N2 N 0.425 0.250 0.786
N3 N 0.639 0.750 0.214
N4 N 0.977 0.750 0.890
N5 N 0.796 0.250 0.529
N6 N 0.087 0.250 0.110
Ta1 Ta 0.963 0.250 0.862
Ta2 Ta 0.101 0.750 0.138
Ti1 Ti 0.754 0.750 0.444
Ti2 Ti 0.310 0.250 0.556

# Cu4Si (PBE, relaxed)
# raw total energy	-3.765	eV/atom
# space-group type	No. 221
# ΔE to the lowest computed polymorph	650.1	meV/atom
# crystal system	cubic
# mass density	5.7	g/cm3
# formation energy from raw total energies	2.981	eV per formula unit
data_Cu4Si
_chemical_formula_sum 'Cu4 Si1'
_cell_length_a 4.348
_cell_length_b 4.348
_cell_length_c 4.348
_cell_angle_alpha 90.00
_cell_angle_beta 90.00
_cell_angle_gamma 90.00
_symmetry_space_group_name_H-M 'P 1'
_symmetry_Int_Tables_number 1
_symmetry_space_group_name_Hall 'P 1'
loop_
_atom_site_label
_atom_site_type_symbol
_atom_site_fract_x
_atom_site_fract_y
_atom_site_fract_z
Cu1 Cu 0.000 0.500 0.500
Cu2 Cu 0.000 0.000 0.000
Cu3 Cu 0.500 0.500 0.000
Cu4 Cu 0.500 0.000 0.500
Si1 Si 0.500 0.500 0.500

# Sm6HgSe5 (PBE, relaxed)
# raw total energy	-5.438	eV/atom
# space-group type	No. 12
# crystal system	monoclinic
# mass density	7.8	g/cm3
# formation energy from raw total energies	-19.214	eV per formula unit
data_Sm6HgSe5
_chemical_formula_sum 'Sm6 Hg1 Se5'
_cell_length_a 7.279
_cell_length_b 7.311
_cell_length_c 7.296
_cell_angle_alpha 59.93
_cell_angle_beta 80.44
_cell_angle_gamma 70.65
_symmetry_space_group_name_H-M 'P 1'
_symmetry_Int_Tables_number 1
_symmetry_space_group_name_Hall 'P 1'
loop_
_atom_site_label
_atom_site_type_symbol
_atom_site_fract_x
_atom_site_fract_y
_atom_site_fract_z
Sm1 Sm 0.747 0.084 0.339
Sm2 Sm 0.253 0.916 0.661
Sm3 Sm 0.251 0.255 0.000
Sm4 Sm 0.747 0.423 0.661
Sm5 Sm 0.749 0.745 0.000
Sm6 Sm 0.253 0.577 0.339
Se1 Se 0.500 0.835 0.331
Se2 Se 0.500 0.500 0.000
Se3 Se 0.000 0.334 0.333
Se4 Se 0.500 0.165 0.669
Se5 Se 0.000 0.666 0.667
Hg1 Hg 0.000 0.000 0.000

# SmY2Al3 (PBE, relaxed)
# raw total energy	-5.218	eV/atom
# space-group type	No. 123
# crystal system	tetragonal
# mass density	4.7	g/cm3
data_SmY2Al3
_chemical_formula_sum 'Sm1 Y2 Al3'
_cell_length_a 3.616
_cell_length_b 3.616
_cell_length_c 10.968
_cell_angle_alpha 90.00
_cell_angle_beta 90.00
_cell_angle_gamma 90.00
_symmetry_space_group_name_H-M 'P 1'
_symmetry_Int_Tables_number 1
_symmetry_space_group_name_Hall 'P 1'
loop_
_atom_site_label
_atom_site_type_symbol
_atom_site_fract_x
_atom_site_fract_y
_atom_site_fract_z
Y1 Y 0.500 0.500 0.164
Y2 Y 0.500 0.500 0.836
Al1 Al 0.000 0.000 0.000
Al2 Al 0.000 0.000 0.674
Al3 Al 0.000 0.000 0.326
Sm1 Sm 0.500 0.500 0.500

# GaCuTe2 (PBE, relaxed)
# raw total energy	-3.588	eV/atom
# space-group type	No. 160
# crystal system	trigonal
# mass density	5.7	g/cm3
# formation energy from raw total energies	-0.948	eV per formula unit
data_GaCuTe2
_chemical_formula_sum 'Ga1 Cu1 Te2'
_cell_length_a 7.440
_cell_length_b 7.440
_cell_length_c 7.440
_cell_angle_alpha 33.82
_cell_angle_beta 33.82
_cell_angle_gamma 33.82
_symmetry_space_group_name_H-M 'P 1'
_symmetry_Int_Tables_number 1
_symmetry_space_group_name_Hall 'P 1'
loop_
_atom_site_label
_atom_site_type_symbol
_atom_site_fract_x
_atom_site_fract_y
_atom_site_fract_z
Ga1 Ga 0.508 0.508 0.508
Te1 Te 0.632 0.632 0.632
Te2 Te 0.119 0.119 0.119
Cu1 Cu 0.992 0.992 0.992

# V2HPdPt (PBE, relaxed)
# raw total energy	-6.847	eV/atom
# space-group type	No. 123
# ΔE to the lowest computed polymorph	0.0	meV/atom
# crystal system	tetragonal
# mass density	11.6	g/cm3
data_V2HPdPt
_chemical_formula_sum 'V2 H1 Pd1 Pt1'
_cell_length_a 3.824
_cell_length_b 3.824
_cell_length_c 3.952
_cell_angle_alpha 90.00
_cell_angle_beta 90.00
_cell_angle_gamma 90.00
_symmetry_space_group_name_H-M 'P 1'
_symmetry_Int_Tables_number 1
_symmetry_space_group_name_Hall 'P 1'
loop_
_atom_site_label
_atom_site_type_symbol
_atom_site_fract_x
_atom_site_fract_y
_atom_site_fract_z
Pd1 Pd 0.000 0.000 0.500
V1 V 0.000 0.500 0.000
V2 V 0.500 0.000 0.000
Pt1 Pt 0.500 0.500 0.500
H1 H 0.000 0.000 0.000